SmZnCd2 | PBE | optimized geometry

Values from the calculation:
E = -0.082 Ha/atom
Energy of formation = -1.1 eV/f.u.

Cell lengths 5.011, 5.011, 5.011 Å; angles 119.94, 119.94, 90.10 degrees
Positions (direct):
Sm 0.000 0.000 0.000
Zn 0.250 0.750 0.500
Cd 0.500 0.500 0.000
Cd 0.750 0.250 0.500



FeCoAs2 | PBE | optimized geometry

Values from the calculation:
E = -0.231 Ha/atom
Energy of formation = -0.3 eV/f.u.
Relative energy among the computed polymorphs = 0 meV/atom

Cell lengths 3.305, 3.305, 4.902 Å; angles 90.00, 90.00, 90.00 degrees
Positions (direct):
Fe 0.000 0.000 0.000
Co 0.500 0.500 0.654
As 0.000 0.000 0.518
As 0.500 0.500 0.148



ZnGeB2O6 | PBE | optimized geometry

Values from the calculation:
ΔE_f (raw) = -43.47 kcal/mol of atoms
E = -0.249 Ha/atom

Cell lengths 6.285, 6.285, 5.069 Å; angles 106.82, 106.82, 83.86 degrees
Positions (direct):
Zn 0.098 0.902 0.750
Zn 0.902 0.098 0.250
Ge 0.283 0.717 0.250
Ge 0.717 0.283 0.750
B 0.214 0.372 0.829
B 0.372 0.214 0.329
B 0.628 0.786 0.671
B 0.786 0.628 0.171
O 0.019 0.232 0.686
O 0.172 0.610 0.869
O 0.232 0.019 0.186
O 0.295 0.383 0.159
O 0.383 0.295 0.659
O 0.390 0.828 0.631
O 0.610 0.172 0.369
O 0.617 0.705 0.341
O 0.705 0.617 0.841
O 0.768 0.981 0.814
O 0.828 0.390 0.131
O 0.981 0.768 0.314



Pm2TcPt | PBE | optimized geometry

Values from the calculation:
E = -0.253 Ha/atom
Energy of formation = -1.6 eV/f.u.
Relative energy among the computed polymorphs = 0 meV/atom

Cell lengths 3.596, 3.596, 6.893 Å; angles 90.00, 90.00, 90.00 degrees
Positions (direct):
Pm 0.000 0.000 0.247
Pm 0.000 0.000 0.753
Tc 0.500 0.500 0.000
Pt 0.500 0.500 0.500